A plane-wave DFT calculation with PBE was carried out for a relaxed structure of Y4Mg2O.

a b c (Å): 4.788 4.788 8.680
angles (deg): 106.01 106.01 90.00
Fractional positions:
1 Y 0.842 0.842 0.684
2 Y 0.158 0.158 0.316
3 Y 0.000 0.500 0.000
4 Y 0.500 0.000 0.000
5 Mg 0.637 0.637 0.274
6 Mg 0.363 0.363 0.726
7 O 0.000 0.000 0.000

Results
* total magnetic moment: 0.00 Bohr magnetons per cell
* VASP energy: -5.56 eV/atom

A plane-wave DFT calculation with PBE was carried out for a relaxed structure of YMgO3.

a b c (Å): 4.274 4.274 4.274
angles (deg): 90.00 90.00 90.00
Fractional positions:
1 Y 0.000 0.000 0.000
2 Mg 0.500 0.500 0.500
3 O 0.000 0.500 0.000
4 O 0.000 0.000 0.500
5 O 0.500 0.000 0.000

Results
* total magnetic moment: 1.00 Bohr magnetons per cell
* VASP energy: -6.33 eV/atom

A plane-wave DFT calculation with PBE was carried out for a relaxed structure of Y3MgO.

a b c (Å): 4.853 4.853 4.853
angles (deg): 90.00 90.00 90.00
Fractional positions:
1 Y 0.000 0.500 0.000
2 Y 0.000 0.000 0.500
3 Y 0.500 0.000 0.000
4 Mg 0.500 0.500 0.500
5 O 0.000 0.000 0.000

Results
* total magnetic moment: 0.00 Bohr magnetons per cell
* VASP energy: -6.40 eV/atom

A plane-wave DFT calculation with PBE was carried out for a relaxed structure of Y2MgO.

a b c (Å): 5.016 5.016 5.016
angles (deg): 60.00 60.00 60.00
Fractional positions:
1 Y 0.250 0.250 0.250
2 Y 0.750 0.750 0.750
3 Mg 0.500 0.500 0.500
4 O 0.000 0.000 0.000

Results
* total magnetic moment: 0.00 Bohr magnetons per cell
* VASP energy: -5.02 eV/atom